Entry 1:
First-principles (PBE) data for crystalline NdYTeO6 at its relaxed geometry, as listed in Alexandria.

The formation energy from raw total energies comes out at -2.425 eV/atom. For the mass density, the calculation gives 5.664 Mg/m³. The calculation puts the total magnetic moment at 0.000 μB per atom.

It has space group P-31c (No. 163), with a = 5.6092 Å, b = 5.6092 Å, c = 9.8278 Å, α = 90.00°, β = 90.00° and γ = 120.00°. Symmetry generates all atoms from Nd at (0.0000, 0.0000, 0.0000), Y at (0.3333, 0.6667, 0.2500), Te at (0.3333, 0.6667, 0.7500) and O at (0.0431, 0.3784, 0.6381).

Entry 2:
First-principles (PBE) data for crystalline NdYTeO2 at its relaxed geometry, as listed in Alexandria.

The formation energy from raw total energies comes out at -2.907 eV/atom. For the mass density, the calculation gives 5.966 Mg/m³. The calculation puts the total magnetic moment at 0.000 μB per atom.

It has space group P2_1/m (No. 11), with a = 6.9363 Å, b = 4.1580 Å, c = 7.9304 Å, α = 90.00°, β = 107.08° and γ = 90.00°. Symmetry generates all atoms from Nd at (0.1772, 0.2500, 0.4241), Y at (0.1578, 0.2500, 0.9126), Te at (0.4508, 0.7500, 0.7497), O at (0.0085, 0.7500, 0.8833) and O at (0.0169, 0.7500, 0.3732).

Entry 3:
First-principles (PBE) data for crystalline Nd2ThO at its relaxed geometry, as listed in Alexandria.

The formation energy from raw total energies comes out at -0.820 eV/atom. For the mass density, the calculation gives 9.438 Mg/m³. The calculation puts the total magnetic moment at 0.000 μB per atom. The excess energy over the best structure of this formula in the dataset comes out at 262 meV per atom.

It has space group P4/mmm (No. 123), with a = 3.3191 Å, b = 3.3191 Å, c = 8.5684 Å, α = 90.00°, β = 90.00° and γ = 90.00°. Symmetry generates all atoms from Nd at (0.0000, 0.0000, 0.1815), Th at (0.5000, 0.5000, 0.5000) and O at (0.5000, 0.5000, 0.0000).

Entry 4:
First-principles (PBE) data for crystalline NdTh2O at its relaxed geometry, as listed in Alexandria.

The formation energy from raw total energies comes out at -0.947 eV/atom. For the mass density, the calculation gives 9.509 Mg/m³. The calculation puts the total magnetic moment at 0.000 μB per atom.

It has space group R-3m (No. 166, hexagonal axes), with a = 3.5367 Å, b = 3.5367 Å, c = 30.1935 Å, α = 90.00°, β = 90.00° and γ = 120.00°. Symmetry generates all atoms from Nd at (0.0000, 0.0000, 0.0000), Th at (0.0000, 0.0000, 0.1167) and O at (0.0000, 0.0000, 0.5000).

Entry 5:
First-principles (PBE) data for crystalline Nd2Th3O9 at its relaxed geometry, as listed in Alexandria.

The formation energy from raw total energies comes out at -3.657 eV/atom. For the mass density, the calculation gives 8.403 Mg/m³. The calculation puts the total magnetic moment at 0.000 μB per atom.

It has space group I-4m2 (No. 119), with a = 3.9769 Å, b = 3.9769 Å, c = 28.2032 Å, α = 90.00°, β = 90.00° and γ = 90.00°. Symmetry generates all atoms from Nd at (0.0000, 0.0000, 0.1941), Th at (0.0000, 0.0000, 0.0000), Th at (0.0000, 0.0000, 0.4002), O at (0.0000, 0.5000, 0.0466), O at (0.0000, 0.5000, 0.1445), O at (0.0000, 0.5000, 0.2500), O at (0.0000, 0.5000, 0.5533) and O at (0.0000, 0.5000, 0.6552).

Entry 6:
First-principles (PBE) data for crystalline Nd2Th2O7 at its relaxed geometry, as listed in Alexandria.

The formation energy from raw total energies comes out at -3.587 eV/atom. For the mass density, the calculation gives 8.120 Mg/m³. The calculation puts the total magnetic moment at 0.000 μB per atom.

It has space group Pmma (No. 51), with a = 8.0152 Å, b = 3.9053 Å, c = 11.2965 Å, α = 90.00°, β = 90.00° and γ = 90.00°. Symmetry generates all atoms from Nd at (0.0000, 0.0000, 0.0000), Nd at (0.2500, 0.5000, 0.2699), Th at (0.0000, 0.0000, 0.5000), Th at (0.2500, 0.5000, 0.7520), O at (0.0125, 0.5000, 0.6216), O at (0.0362, 0.5000, 0.1271), O at (0.2500, 0.0000, 0.3767), O at (0.2500, 0.0000, 0.6318) and O at (0.2500, 0.0000, 0.8861).

Entry 7:
First-principles (PBE) data for crystalline NdTh3O8 at its relaxed geometry, as listed in Alexandria.

The formation energy from raw total energies comes out at -3.576 eV/atom. For the mass density, the calculation gives 9.031 Mg/m³. The calculation puts the total magnetic moment at 0.058 μB per atom.

It has space group Pm-3m (No. 221), with a = 5.6259 Å, b = 5.6259 Å, c = 5.6259 Å, α = 90.00°, β = 90.00° and γ = 90.00°. Symmetry generates all atoms from Nd at (0.0000, 0.0000, 0.0000), Th at (0.0000, 0.5000, 0.5000) and O at (0.2533, 0.2533, 0.2533).

Entry 8:
First-principles (PBE) data for crystalline Nd2ThO at its relaxed geometry, as listed in Alexandria.

The formation energy from raw total energies comes out at -1.081 eV/atom. For the mass density, the calculation gives 8.316 Mg/m³. The calculation puts the total magnetic moment at 0.000 μB per atom. The excess energy over the best structure of this formula in the dataset comes out at 0 meV per atom.

It has space group R-3m (No. 166, hexagonal axes), with a = 3.5537 Å, b = 3.5537 Å, c = 29.3873 Å, α = 90.00°, β = 90.00° and γ = 120.00°. Symmetry generates all atoms from Nd at (0.0000, 0.0000, 0.1183), Th at (0.0000, 0.0000, 0.0000) and O at (0.0000, 0.0000, 0.5000).